Record 1
! K2TcSe | Alexandria | PBE | relaxed; values from VASP
! Space-group type = Cmmm
! Raw formation energy = 12.16 kcal/mol of atoms
&SYSTEM
  ibrav = 0, nat = 4, ntyp = 3
/
ATOMIC_SPECIES
K 39.10 K.upf
Tc 98.00 Tc.upf
Se 78.96 Se.upf
CELL_PARAMETERS angstrom
2.799 -4.798 0.000
2.799 4.798 0.000
0.000 0.000 4.196
ATOMIC_POSITIONS angstrom
K 1.399 2.399 0.000
K 1.399 -2.399 0.000
Tc 0.000 0.000 2.098
Se 2.799 0.000 2.098


Record 2
! K3AgAu | Alexandria | PBE | relaxed; values from VASP
! Energy above the lowest structure with this stoichiometry = 0.000 eV/atom
! Space-group type = Pmmn
! ΔH_f (0 K) = -0.6 eV/f.u.
&SYSTEM
  ibrav = 0, nat = 10, ntyp = 3
/
ATOMIC_SPECIES
K 39.10 K.upf
Ag 107.87 Ag.upf
Au 196.97 Au.upf
CELL_PARAMETERS angstrom
5.119 0.000 0.000
0.000 9.746 0.000
0.000 0.000 7.549
ATOMIC_POSITIONS angstrom
K 1.280 0.451 1.799
K 1.280 2.437 5.633
K 1.280 4.422 1.799
K 3.839 5.324 5.750
K 3.839 7.310 1.915
K 3.839 9.296 5.750
Ag 1.280 7.310 4.302
Ag 3.839 2.437 3.247
Au 1.280 7.310 7.162
Au 3.839 2.437 0.387